Density functional theory data (PBE) for a relaxed structure of Zn5Si7.

Cell: 6.8042 6.8042 6.8042 Å, 98.71 98.71 134.20°
Last column: nearest neighbours and their distance in Å.
Sites, in units of the cell vectors:
Zn 0.0000 0.0000 0.0000  1 Si 2.49
Zn 0.1932 0.1932 0.4525  4 Si 2.59-2.64, 3 Zn 2.71-2.84
Zn 0.1932 0.7407 0.0000  4 Si 2.59-2.64, 3 Zn 2.71-2.84
Zn 0.7407 0.1932 0.0000  4 Si 2.59-2.64, 3 Zn 2.71-2.84
Zn 0.7407 0.7407 0.5475  4 Si 2.59-2.64, 3 Zn 2.71-2.84
Si 0.3984 0.6634 0.7351  3 Si 2.45-2.56, 4 Zn 2.59-2.64
Si 0.4188 0.9188 0.5000  6 Si 2.45-2.65
Si 0.4711 0.4711 0.0000  1 Zn 2.49, 4 Si 2.56
Si 0.6634 0.3984 0.7351  3 Si 2.45-2.56, 4 Zn 2.59-2.64
Si 0.6634 0.9283 0.2649  3 Si 2.45-2.56, 4 Zn 2.59-2.64
Si 0.9188 0.4188 0.5000  6 Si 2.45-2.65
Si 0.9283 0.6634 0.2649  3 Si 2.45-2.56, 4 Zn 2.59-2.64

Properties
- energy relative to the elements, uncorrected (kcal/mol of atoms) = 7.76

---

Density functional theory data (PBE) for a relaxed structure of Zn2Si.

Cell: 2.7182 2.7182 21.4268 Å, 90.00 90.00 120.00°
Last column: nearest neighbours and their distance in Å.
Sites, in units of the cell vectors:
Zn 0.0000 0.0000 0.0000  9 Zn 2.72-2.83, 3 Si 2.87
Zn 0.0000 0.0000 0.2236  9 Zn 2.72-2.83, 3 Si 2.85
Zn 0.3333 0.6667 0.6667  9 Zn 2.72-2.83, 3 Si 2.87
Zn 0.3333 0.6667 0.8903  9 Zn 2.72-2.83, 3 Si 2.85
Zn 0.6667 0.3333 0.3333  9 Zn 2.72-2.83, 3 Si 2.87
Zn 0.6667 0.3333 0.5570  9 Zn 2.72-2.83, 3 Si 2.85
Si 0.0000 0.0000 0.7790  6 Si 2.72, 6 Zn 2.85-2.87
Si 0.3333 0.6667 0.4457  6 Si 2.72, 6 Zn 2.85-2.87
Si 0.6667 0.3333 0.1124  6 Si 2.72, 6 Zn 2.85-2.87

Properties
- energy relative to the elements, uncorrected (kcal/mol of atoms) = 4.23

---

Density functional theory data (PBE) for a relaxed structure of Zn4Si.

Cell: 6.2444 6.2444 3.8975 Å, 90.00 90.00 90.00°
Last column: nearest neighbours and their distance in Å.
Sites, in units of the cell vectors:
Zn 0.0995 0.2999 0.0000  3 Si 2.77-2.80, 9 Zn 2.77-2.79
Zn 0.2001 0.5995 0.5000  3 Si 2.77-2.80, 9 Zn 2.77-2.79
Zn 0.2999 0.9005 0.0000  3 Si 2.77-2.80, 9 Zn 2.77-2.79
Zn 0.4005 0.2001 0.5000  3 Si 2.77-2.80, 9 Zn 2.77-2.79
Zn 0.5995 0.7999 0.5000  3 Si 2.77-2.80, 9 Zn 2.77-2.79
Zn 0.7001 0.0995 0.0000  3 Si 2.77-2.80, 9 Zn 2.77-2.79
Zn 0.7999 0.4005 0.5000  3 Si 2.77-2.80, 9 Zn 2.77-2.79
Zn 0.9005 0.7001 0.0000  3 Si 2.77-2.80, 9 Zn 2.77-2.79
Si 0.0000 0.0000 0.5000  12 Zn 2.77-2.80
Si 0.5000 0.5000 0.0000  12 Zn 2.77-2.80

Properties
- energy relative to the elements, uncorrected (kcal/mol of atoms) = 3.47
- offset from the most stable computed form (meV per atom) = 0

---

| no. | D(E_F) (states/eV/atom) |
| --- | --- |
| 1 | 0.420 |
| 2 | 0.219 |
| 3 | 0.254 |